[1]
Compound: Ca2TmCd
Source: Alexandria
Functional: GGA-PBE
Structure: relaxed

Cell: 4.8739 4.8739 5.2380 Å, 90.00 90.00 90.00°
Fractional coordinates of all 4 atoms:
Ca 0.0000 0.5000 0.0000
Ca 0.5000 0.0000 0.0000
Tm 0.0000 0.0000 0.5000
Cd 0.5000 0.5000 0.5000

- Spin magnetization: 0.000 Bohr magnetons per cell
- Excess energy over the best structure of this formula in the dataset: 8.2 meV/atom
- E: -9.52 eV/cell
- Formation energy from the elements: -12 kJ/mol of formula units

***

[2]
Compound: CaTm2Cd
Source: Alexandria
Functional: GGA-PBE
Structure: relaxed

Cell: 5.4514 5.4514 5.4514 Å, 60.00 60.00 60.00°
Fractional coordinates of all 4 atoms:
Ca 0.0000 0.0000 0.0000
Tm 0.2500 0.2500 0.2500
Tm 0.7500 0.7500 0.7500
Cd 0.5000 0.5000 0.5000

- Spin magnetization: 0.000 Bohr magnetons per cell
- Excess energy over the best structure of this formula in the dataset: 78.3 meV/atom
- E: -11.76 eV/cell
- Formation energy from the elements: 9 kJ/mol of formula units

***

[3]
Compound: Ca2TmCd8
Source: Alexandria
Functional: GGA-PBE
Structure: relaxed

Cell: 5.5150 6.3701 8.7540 Å, 70.04 72.55 85.94°
Fractional coordinates of all 11 atoms:
Ca 0.1650 0.2359 0.1231
Ca 0.8350 0.7641 0.8769
Tm 0.0000 0.5000 0.5000
Cd 0.2367 0.7424 0.0991
Cd 0.2486 0.9738 0.4940
Cd 0.3262 0.1322 0.7658
Cd 0.4227 0.5974 0.7296
Cd 0.5773 0.4026 0.2704
Cd 0.6738 0.8678 0.2342
Cd 0.7514 0.0262 0.5060
Cd 0.7633 0.2576 0.9009

- Spin magnetization: 0.000 Bohr magnetons per cell
- E: -18.14 eV/cell
- Formation energy from the elements: -227 kJ/mol of formula units

***

[4]
Compound: CaTm2Cd4
Source: Alexandria
Functional: GGA-PBE
Structure: relaxed

Cell: 8.4539 8.4539 8.4539 Å, 144.83 144.83 50.59°
Fractional coordinates of all 7 atoms:
Ca 0.0000 0.0000 0.0000
Tm 0.2513 0.2513 0.0000
Tm 0.7487 0.7487 0.0000
Cd 0.1254 0.6254 0.5000
Cd 0.3746 0.8746 0.5000
Cd 0.6254 0.1254 0.5000
Cd 0.8746 0.3746 0.5000

- Spin magnetization: 0.000 Bohr magnetons per cell
- E: -15.46 eV/cell
- Formation energy from the elements: -82 kJ/mol of formula units

***

[5]
Compound: Ca3Tm12Cd5
Source: Alexandria
Functional: GGA-PBE
Structure: relaxed

Cell: 15.7528 15.7528 15.7528 Å, 109.47 109.47 109.47°
Fractional coordinates of all 80 atoms:
Ca 0.1250 0.2500 0.3750
Ca 0.1250 0.3750 0.7500
Ca 0.2500 0.3750 0.1250
Ca 0.2500 0.8750 0.6250
Ca 0.3750 0.1250 0.2500
Ca 0.3750 0.7500 0.1250
Ca 0.6250 0.2500 0.8750
Ca 0.6250 0.8750 0.7500
Ca 0.7500 0.1250 0.3750
Ca 0.7500 0.6250 0.8750
Ca 0.8750 0.6250 0.2500
Ca 0.8750 0.7500 0.6250
Tm 0.0475 0.2130 0.1220
Tm 0.0475 0.3345 0.9255
Tm 0.0745 0.6220 0.4090
Tm 0.0745 0.9525 0.6655
Tm 0.0910 0.7130 0.6655
Tm 0.0910 0.8780 0.4255
Tm 0.1220 0.0475 0.2130
Tm 0.1220 0.5745 0.9090
Tm 0.1655 0.2130 0.5910
Tm 0.1655 0.4525 0.5745
Tm 0.2130 0.1220 0.0475
Tm 0.2130 0.5910 0.1655
Tm 0.2870 0.3345 0.9090
Tm 0.2870 0.4525 0.3780
Tm 0.3345 0.9090 0.2870
Tm 0.3345 0.9255 0.0475
Tm 0.3780 0.2870 0.4525
Tm 0.3780 0.5910 0.9255
Tm 0.4090 0.0745 0.6220
Tm 0.4090 0.8345 0.7870
Tm 0.4255 0.0910 0.8780
Tm 0.4255 0.8345 0.5475
Tm 0.4525 0.3780 0.2870
Tm 0.4525 0.5745 0.1655
Tm 0.5475 0.4255 0.8345
Tm 0.5475 0.6220 0.7130
Tm 0.5745 0.1655 0.4525
Tm 0.5745 0.9090 0.1220
Tm 0.5910 0.1655 0.2130
Tm 0.5910 0.9255 0.3780
Tm 0.6220 0.4090 0.0745
Tm 0.6220 0.7130 0.5475
Tm 0.6655 0.0745 0.9525
Tm 0.6655 0.0910 0.7130
Tm 0.7130 0.5475 0.6220
Tm 0.7130 0.6655 0.0910
Tm 0.7870 0.4090 0.8345
Tm 0.7870 0.8780 0.9525
Tm 0.8345 0.5475 0.4255
Tm 0.8345 0.7870 0.4090
Tm 0.8780 0.4255 0.0910
Tm 0.8780 0.9525 0.7870
Tm 0.9090 0.1220 0.5745
Tm 0.9090 0.2870 0.3345
Tm 0.9255 0.0475 0.3345
Tm 0.9255 0.3780 0.5910
Tm 0.9525 0.6655 0.0745
Tm 0.9525 0.7870 0.8780
Cd 0.0000 0.0000 0.0000
Cd 0.0000 0.0000 0.5000
Cd 0.0000 0.5000 0.0000
Cd 0.0000 0.5000 0.5000
Cd 0.1250 0.7500 0.8750
Cd 0.1250 0.8750 0.2500
Cd 0.2500 0.1250 0.8750
Cd 0.2500 0.6250 0.3750
Cd 0.3750 0.2500 0.6250
Cd 0.3750 0.6250 0.7500
Cd 0.5000 0.0000 0.0000
Cd 0.5000 0.0000 0.5000
Cd 0.5000 0.5000 0.0000
Cd 0.5000 0.5000 0.5000
Cd 0.6250 0.3750 0.2500
Cd 0.6250 0.7500 0.3750
Cd 0.7500 0.3750 0.6250
Cd 0.7500 0.8750 0.1250
Cd 0.8750 0.1250 0.7500
Cd 0.8750 0.2500 0.1250

- Spin magnetization: 0.000 Bohr magnetons per cell
- E: -206.46 eV/cell
- Formation energy from the elements: 1218 kJ/mol of formula units

***

[6]
Compound: CaTmCd14
Source: Alexandria
Functional: GGA-PBE
Structure: relaxed

Cell: 6.5775 6.5775 8.6015 Å, 90.00 90.00 90.00°
Fractional coordinates of all 16 atoms:
Ca 0.0000 0.0000 0.0000
Tm 0.5000 0.5000 0.0000
Cd 0.0000 0.0000 0.5000
Cd 0.0000 0.5000 0.0000
Cd 0.0000 0.5000 0.5000
Cd 0.2520 0.2520 0.2592
Cd 0.2520 0.2520 0.7408
Cd 0.2520 0.7480 0.2592
Cd 0.2520 0.7480 0.7408
Cd 0.5000 0.0000 0.0000
Cd 0.5000 0.0000 0.5000
Cd 0.5000 0.5000 0.5000
Cd 0.7480 0.2520 0.2592
Cd 0.7480 0.2520 0.7408
Cd 0.7480 0.7480 0.2592
Cd 0.7480 0.7480 0.7408

- Spin magnetization: 0.000 Bohr magnetons per cell
- E: -21.33 eV/cell
- Formation energy from the elements: -197 kJ/mol of formula units

***

[7]
Compound: Ca3TmCd4
Source: Alexandria
Functional: GGA-PBE
Structure: relaxed

Cell: 3.7888 3.7888 15.2557 Å, 90.00 90.00 90.00°
Fractional coordinates of all 8 atoms:
Ca 0.0000 0.0000 0.0000
Ca 0.0000 0.0000 0.2547
Ca 0.0000 0.0000 0.7453
Tm 0.0000 0.0000 0.5000
Cd 0.5000 0.5000 0.1273
Cd 0.5000 0.5000 0.3852
Cd 0.5000 0.5000 0.6148
Cd 0.5000 0.5000 0.8727

- Spin magnetization: 0.000 Bohr magnetons per cell
- E: -16.90 eV/cell
- Formation energy from the elements: -266 kJ/mol of formula units

***

[8]
Compound: CaTmCd
Source: Alexandria
Functional: GGA-PBE
Structure: relaxed

Cell: 7.9690 7.9690 4.9898 Å, 90.00 90.00 120.00°
Fractional coordinates of all 9 atoms:
Ca 0.0000 0.4162 0.0000
Ca 0.4162 0.0000 0.0000
Ca 0.5838 0.5838 0.0000
Tm 0.0000 0.7554 0.5000
Tm 0.2446 0.2446 0.5000
Tm 0.7554 0.0000 0.5000
Cd 0.0000 0.0000 0.0000
Cd 0.3333 0.6667 0.5000
Cd 0.6667 0.3333 0.5000

- Spin magnetization: 0.000 Bohr magnetons per cell
- Excess energy over the best structure of this formula in the dataset: 0.0 meV/atom
- E: -23.65 eV/cell
- Formation energy from the elements: -48 kJ/mol of formula units

***

[9]
Compound: CaTmCd
Source: Alexandria
Functional: GGA-PBE
Structure: relaxed

Cell: 5.3115 5.3115 3.6268 Å, 90.00 90.00 120.00°
Fractional coordinates of all 3 atoms:
Ca 0.0000 0.0000 0.0000
Tm 0.3333 0.6667 0.4465
Cd 0.6667 0.3333 0.6887

- Spin magnetization: 0.000 Bohr magnetons per cell
- Excess energy over the best structure of this formula in the dataset: 138.1 meV/atom
- E: -7.47 eV/cell
- Formation energy from the elements: -8 kJ/mol of formula units

***

[10]
Compound: CaTm3Cd6
Source: Alexandria
Functional: GGA-PBE
Structure: relaxed

Cell: 9.0885 5.1779 11.0416 Å, 90.00 106.27 90.00°
Fractional coordinates of all 20 atoms:
Ca 0.0535 0.2500 0.3900
Ca 0.9465 0.7500 0.6100
Tm 0.2423 0.2500 0.9959
Tm 0.3562 0.7500 0.8018
Tm 0.4660 0.2500 0.6056
Tm 0.5340 0.7500 0.3944
Tm 0.6438 0.2500 0.1982
Tm 0.7577 0.7500 0.0041
Cd 0.0547 0.7500 0.9085
Cd 0.1389 0.7500 0.2029
Cd 0.1647 0.2500 0.6952
Cd 0.2517 0.7500 0.5066
Cd 0.3471 0.2500 0.2916
Cd 0.4423 0.7500 0.0989
Cd 0.5577 0.2500 0.9011
Cd 0.6529 0.7500 0.7084
Cd 0.7483 0.2500 0.4934
Cd 0.8353 0.7500 0.3048
Cd 0.8611 0.2500 0.7971
Cd 0.9453 0.2500 0.0915

- Spin magnetization: 0.000 Bohr magnetons per cell
- E: -47.31 eV/cell
- Formation energy from the elements: -265 kJ/mol of formula units